[1]
Here is an optimized crystal structure of Y12Ni5Sn from the Alexandria database. Energies are from PBE.

Calculated total energy, Ry/atom: -0.479
Total magnetization, μB/f.u.: 0.00

Geometry as CIF:
```
data_Y12Ni5Sn
_chemical_formula_sum 'Y24 Ni10 Sn2'
_cell_length_a 9.415
_cell_length_b 9.631
_cell_length_c 9.934
_cell_angle_alpha 90.00
_cell_angle_beta 90.00
_cell_angle_gamma 90.00
_space_group_name_H-M_alt 'I m m m'
_space_group_IT_number 71
_space_group_name_Hall '-I 2 2'
loop_
_atom_site_label
_atom_site_type_symbol
_atom_site_fract_x
_atom_site_fract_y
_atom_site_fract_z
_atom_site_occupancy
Y1 Y 0.000 0.192 0.212 1
Y2 Y 0.195 0.500 0.178 1
Y3 Y 0.206 0.318 0.500 1
Ni1 Ni 0.000 0.000 0.000 1
Ni2 Ni 0.000 0.366 0.000 1
Ni3 Ni 0.000 0.500 0.377 1
Sn1 Sn 0.000 0.000 0.500 1
```



[2]
Here is an optimized crystal structure of DyTc2P2 from the Alexandria database. Energies are from PBE.

Calculated total energy, Ry/atom: -0.598
Total magnetization, μB/f.u.: 0.00

Geometry as CIF:
```
data_DyTc2P2
_chemical_formula_sum 'Dy2 Tc4 P4'
_cell_length_a 4.161
_cell_length_b 4.161
_cell_length_c 9.435
_cell_angle_alpha 90.00
_cell_angle_beta 90.00
_cell_angle_gamma 90.00
_space_group_name_H-M_alt 'I 4/m m m'
_space_group_IT_number 139
_space_group_name_Hall '-I 4 2'
loop_
_atom_site_label
_atom_site_type_symbol
_atom_site_fract_x
_atom_site_fract_y
_atom_site_fract_z
_atom_site_occupancy
Dy1 Dy 0.000 0.000 0.000 1
Tc1 Tc 0.000 0.500 0.250 1
P1 P 0.000 0.000 0.369 1
```



[3]
Here is an optimized crystal structure of NaIn2Au from the Alexandria database. Energies are from PBE.

Calculated total energy, Ry/atom: -0.197
Total magnetization, μB/f.u.: 0.00

Geometry as CIF:
```
data_NaIn2Au
_chemical_formula_sum 'Na4 In8 Au4'
_cell_length_a 7.095
_cell_length_b 7.095
_cell_length_c 7.095
_cell_angle_alpha 90.00
_cell_angle_beta 90.00
_cell_angle_gamma 90.00
_space_group_name_H-M_alt 'F m -3 m'
_space_group_IT_number 225
_space_group_name_Hall '-F 4 2 3'
loop_
_atom_site_label
_atom_site_type_symbol
_atom_site_fract_x
_atom_site_fract_y
_atom_site_fract_z
_atom_site_occupancy
Na1 Na 0.000 0.000 0.000 1
In1 In 0.250 0.250 0.250 1
Au1 Au 0.000 0.000 0.500 1
```



[4]
Here is an optimized crystal structure of Mg4SiS2 from the Alexandria database. Energies are from PBE.

Total magnetization, μB/f.u.: 0.00
Uncorrected formation energy, eV/atom: -0.420

Geometry as CIF:
```
data_Mg4SiS2
_chemical_formula_sum 'Mg8 Si2 S4'
_cell_length_a 4.945
_cell_length_b 4.945
_cell_length_c 13.532
_cell_angle_alpha 90.00
_cell_angle_beta 90.00
_cell_angle_gamma 90.00
_space_group_name_H-M_alt 'I 4/m m m'
_space_group_IT_number 139
_space_group_name_Hall '-I 4 2'
loop_
_atom_site_label
_atom_site_type_symbol
_atom_site_fract_x
_atom_site_fract_y
_atom_site_fract_z
_atom_site_occupancy
Mg1 Mg 0.000 0.000 0.185 1
Mg2 Mg 0.000 0.500 0.000 1
Si1 Si 0.000 0.000 0.000 1
S1 S 0.000 0.000 0.358 1
```



[5]
Here is an optimized crystal structure of Sr2Ca4Sb3Cl2 from the Alexandria database. Energies are from PBE.

Total magnetization, μB/f.u.: 0.00
Uncorrected formation energy, eV/atom: -1.254

Geometry as CIF:
```
data_Sr2Ca4Sb3Cl2
_chemical_formula_sum 'Sr4 Ca8 Sb6 Cl4'
_cell_length_a 5.260
_cell_length_b 5.260
_cell_length_c 25.554
_cell_angle_alpha 90.00
_cell_angle_beta 90.00
_cell_angle_gamma 90.00
_space_group_name_H-M_alt 'I 4/m m m'
_space_group_IT_number 139
_space_group_name_Hall '-I 4 2'
loop_
_atom_site_label
_atom_site_type_symbol
_atom_site_fract_x
_atom_site_fract_y
_atom_site_fract_z
_atom_site_occupancy
Sr1 Sr 0.000 0.000 0.203 1
Ca1 Ca 0.000 0.500 0.079 1
Sb1 Sb 0.000 0.000 0.332 1
Sb2 Sb 0.000 0.000 0.500 1
Cl1 Cl 0.000 0.000 0.083 1
```



[6]
Here is an optimized crystal structure of Tb2PmPuS4 from the Alexandria database. Energies are from PBE.

Total magnetization, μB/f.u.: 5.81
Uncorrected formation energy, eV/atom: -1.976

Geometry as CIF:
```
data_Tb2PmPuS4
_chemical_formula_sum 'Tb2 Pm1 Pu1 S4'
_cell_length_a 6.867
_cell_length_b 3.946
_cell_length_c 6.873
_cell_angle_alpha 90.00
_cell_angle_beta 109.21
_cell_angle_gamma 90.00
_space_group_name_H-M_alt 'P 1 2/m 1'
_space_group_IT_number 10
_space_group_name_Hall '-P 2y'
loop_
_atom_site_label
_atom_site_type_symbol
_atom_site_fract_x
_atom_site_fract_y
_atom_site_fract_z
_atom_site_occupancy
Tb1 Tb 0.000 0.000 0.000 1
Tb2 Tb 0.500 0.500 0.000 1
Pm1 Pm 0.000 0.500 0.500 1
Pu1 Pu 0.500 0.000 0.500 1
S1 S 0.251 0.500 0.245 1
S2 S 0.255 0.000 0.757 1
```